CoSnSO, optimized geometry, DFT PBE+U; spin magnetization = 3.0 μB/f.u.; distance to the lowest polymorph of the same formula = 165.5 meV/atom; energy = -5.081 eV/atom; SG = Cmcm, No. 63
1.0
-3.555 1.699 -5.091
-5.848 1.736 -2.055
1.342 5.636 0.944
Co O S Sn
2 2 2 2
Cartesian
-0.620 1.758 -0.490
-7.442 7.314 -5.712
0.000 0.000 0.000
0.671 2.818 0.472
-6.340 3.848 -4.837
-1.722 5.224 -1.365
-3.299 2.737 -2.526
-4.763 6.335 -3.676